Arrangement w

# CrBiSb2I, relaxed, DFT PBE
data_CrBiSb2I
_space_group_name_H-M_alt 'P 4/m m m'
_space_group_IT_number 123
_space_group_name_Hall '-P 4 2'
_cell_length_a 4.9677
_cell_length_b 4.9677
_cell_length_c 5.7884
_cell_angle_alpha 90.00
_cell_angle_beta 90.00
_cell_angle_gamma 90.00
loop_
_atom_site_label
_atom_site_type_symbol
_atom_site_fract_x
_atom_site_fract_y
_atom_site_fract_z
Cr1 Cr 0.0000 0.0000 0.0000
Bi1 Bi 0.5000 0.5000 0.5000
Sb1 Sb 0.0000 0.5000 0.0000
I1 I 0.0000 0.0000 0.5000
# Magnetization (μB/atom): 0.004

---

Arrangement x

# CrBiSb2I, relaxed, DFT PBE
data_CrBiSb2I
_space_group_name_H-M_alt 'P 4/m m m'
_space_group_IT_number 123
_space_group_name_Hall '-P 4 2'
_cell_length_a 5.8417
_cell_length_b 5.8417
_cell_length_c 6.0537
_cell_angle_alpha 90.00
_cell_angle_beta 90.00
_cell_angle_gamma 90.00
loop_
_atom_site_label
_atom_site_type_symbol
_atom_site_fract_x
_atom_site_fract_y
_atom_site_fract_z
Cr1 Cr 0.0000 0.0000 0.0000
Bi1 Bi 0.5000 0.5000 0.5000
Sb1 Sb 0.0000 0.5000 0.5000
I1 I 0.5000 0.5000 0.0000
# Magnetization (μB/atom): 0.026

---

Computed relative energies in units of meV per atom: arrangement w 0; arrangement x 1054

---

Arrangement w

# Cr3InBi, relaxed, DFT PBE
data_Cr3InBi
_space_group_name_H-M_alt 'P m -3 m'
_space_group_IT_number 221
_space_group_name_Hall '-P 4 2 3'
_cell_length_a 5.0584
_cell_length_b 5.0584
_cell_length_c 5.0584
_cell_angle_alpha 90.00
_cell_angle_beta 90.00
_cell_angle_gamma 90.00
loop_
_atom_site_label
_atom_site_type_symbol
_atom_site_fract_x
_atom_site_fract_y
_atom_site_fract_z
Cr1 Cr 0.0000 0.0000 0.5000
In1 In 0.0000 0.0000 0.0000
Bi1 Bi 0.5000 0.5000 0.5000
# Magnetization (μB/atom): 2.258

---

Arrangement x

# Cr3InBi, relaxed, DFT PBE
data_Cr3InBi
_space_group_name_H-M_alt 'P m -3 m'
_space_group_IT_number 221
_space_group_name_Hall '-P 4 2 3'
_cell_length_a 5.3183
_cell_length_b 5.3183
_cell_length_c 5.3183
_cell_angle_alpha 90.00
_cell_angle_beta 90.00
_cell_angle_gamma 90.00
loop_
_atom_site_label
_atom_site_type_symbol
_atom_site_fract_x
_atom_site_fract_y
_atom_site_fract_z
Cr1 Cr 0.0000 0.0000 0.5000
In1 In 0.5000 0.5000 0.5000
Bi1 Bi 0.0000 0.0000 0.0000
# Magnetization (μB/atom): 2.669

---

Computed relative energies in units of meV per atom: arrangement w 0; arrangement x 32

---

Arrangement w

# KCr3Bi, relaxed, DFT PBE
data_KCr3Bi
_space_group_name_H-M_alt 'P m -3 m'
_space_group_IT_number 221
_space_group_name_Hall '-P 4 2 3'
_cell_length_a 5.3371
_cell_length_b 5.3371
_cell_length_c 5.3371
_cell_angle_alpha 90.00
_cell_angle_beta 90.00
_cell_angle_gamma 90.00
loop_
_atom_site_label
_atom_site_type_symbol
_atom_site_fract_x
_atom_site_fract_y
_atom_site_fract_z
K1 K 0.0000 0.0000 0.0000
Cr1 Cr 0.0000 0.0000 0.5000
Bi1 Bi 0.5000 0.5000 0.5000
# Magnetization (μB/atom): 2.981

---

Arrangement x

# KCr3Bi, relaxed, DFT PBE
data_KCr3Bi
_space_group_name_H-M_alt 'P m -3 m'
_space_group_IT_number 221
_space_group_name_Hall '-P 4 2 3'
_cell_length_a 5.5136
_cell_length_b 5.5136
_cell_length_c 5.5136
_cell_angle_alpha 90.00
_cell_angle_beta 90.00
_cell_angle_gamma 90.00
loop_
_atom_site_label
_atom_site_type_symbol
_atom_site_fract_x
_atom_site_fract_y
_atom_site_fract_z
K1 K 0.0000 0.0000 0.0000
Cr1 Cr 0.0000 0.5000 0.5000
Bi1 Bi 0.5000 0.5000 0.5000
# Magnetization (μB/atom): 2.829

---

Computed relative energies in units of meV per atom: arrangement w 890; arrangement x 0